## ZrBe9Os2 (PBE)

Data for a relaxed ZrBe9Os2 crystal.

Summary:
total moment = 0.0 μB per cell
SG = P6_3/mmc (194)
total energy = -5.68 eV per atom
calculated volume = 237 Å³ per cell

abc: 4.4242 4.4242 13.9818
angles: 90.00 90.00 120.00
With the nearest neighbours (Å) after each atom.
Sites, in units of the cell vectors:
Be  0.6595  0.8298  0.3807  7 Be 2.12-2.26
Be  0.8298  0.6595  0.6193  7 Be 2.12-2.26
Zr  0.3333  0.6667  0.7500  6 Be 2.55
Be  0.1702  0.8298  0.1193  7 Be 2.12-2.26
Os  0.6667  0.3333  0.0363  12 Be 2.50-2.60, 3 Os 2.75
Be  0.8298  0.1702  0.6193  7 Be 2.12-2.26
Be  0.3333  0.6667  0.2500  6 Be 2.21
Be  0.8298  0.1702  0.8807  7 Be 2.12-2.26
Be  0.0000  0.0000  0.2500  6 Be 2.25
Os  0.6667  0.3333  0.4637  12 Be 2.50-2.60, 3 Os 2.75
Be  0.6595  0.8298  0.1193  7 Be 2.12-2.26
Be  0.8298  0.6595  0.8807  7 Be 2.12-2.26
Zr  0.6667  0.3333  0.2500  6 Be 2.55
Be  0.1702  0.3405  0.3807  7 Be 2.12-2.26
Be  0.1702  0.3405  0.1193  7 Be 2.12-2.26
Be  0.1702  0.8298  0.3807  7 Be 2.12-2.26
Be  0.6667  0.3333  0.7500  6 Be 2.21
Os  0.3333  0.6667  0.9637  12 Be 2.50-2.60, 3 Os 2.75
Be  0.0000  0.0000  0.7500  6 Be 2.25
Be  0.0000  0.0000  0.5000  6 Be 2.12
Os  0.3333  0.6667  0.5363  12 Be 2.50-2.60, 3 Os 2.75
Be  0.0000  0.0000  0.0000  6 Be 2.12
Be  0.3405  0.1702  0.8807  7 Be 2.12-2.26
Be  0.3405  0.1702  0.6193  7 Be 2.12-2.26

=====

## Zr3BeOs (PBE)

Data for a relaxed Zr3BeOs crystal.

Summary:
total moment = 0.0 μB per cell
SG = Pm-3m (221)
total energy = -7.58 eV per atom
calculated volume = 97 Å³ per cell

abc: 4.5958 4.5958 4.5958
angles: 90.00 90.00 90.00
With the nearest neighbours (Å) after each atom.
Sites, in units of the cell vectors:
Zr  0.0000  0.0000  0.5000  2 Be 2.30
Zr  0.0000  0.5000  0.0000  2 Be 2.30
Os  0.5000  0.5000  0.5000  12 Zr 3.25
Be  0.0000  0.0000  0.0000  6 Zr 2.30
Zr  0.5000  0.0000  0.0000  2 Be 2.30

=====

## ZrBeOs4 (PBE)

Data for a relaxed ZrBeOs4 crystal.

Summary:
total moment = 0.0 μB per cell
SG = F-43m (216)
total energy = -9.30 eV per atom
calculated volume = 97 Å³ per cell

abc: 5.1630 5.1630 5.1630
angles: 60.00 60.00 60.00
With the nearest neighbours (Å) after each atom.
Sites, in units of the cell vectors:
Zr  0.2500  0.2500  0.2500  12 Os 3.03, 4 Be 3.16
Be  0.0000  0.0000  0.0000  12 Os 3.03, 4 Zr 3.16
Os  0.6256  0.6256  0.1232  6 Os 2.57-2.59
Os  0.6256  0.1232  0.6256  6 Os 2.57-2.59
Os  0.1232  0.6256  0.6256  6 Os 2.57-2.59
Os  0.6256  0.6256  0.6256  6 Os 2.57-2.59

=====

## Zr4BeOs (PBE)

Data for a relaxed Zr4BeOs crystal.

Summary:
total moment = 0.0 μB per cell
SG = F-43m (216)
total energy = -7.45 eV per atom
calculated volume = 120 Å³ per cell

abc: 5.5298 5.5298 5.5298
angles: 60.00 60.00 60.00
With the nearest neighbours (Å) after each atom.
Sites, in units of the cell vectors:
Be  0.7500  0.7500  0.7500  12 Zr 3.25, 4 Os 3.39
Zr  0.3734  0.3734  0.3734  6 Zr 2.73-2.80
Zr  0.8797  0.3734  0.3734  6 Zr 2.73-2.80
Zr  0.3734  0.8797  0.3734  6 Zr 2.73-2.80
Zr  0.3734  0.3734  0.8797  6 Zr 2.73-2.80
Os  0.0000  0.0000  0.0000  12 Zr 3.24, 4 Be 3.39

=====

## ZrBeOs3 (PBE)

Data for a relaxed ZrBeOs3 crystal.

Summary:
total moment = 2.8 μB per cell
SG = Pm-3m (221)
total energy = -6.41 eV per atom
calculated volume = 112 Å³ per cell

abc: 4.8149 4.8149 4.8149
angles: 90.00 90.00 90.00
With the nearest neighbours (Å) after each atom.
Sites, in units of the cell vectors:
Os  0.5000  0.0000  0.0000  2 Zr 2.41
Zr  0.0000  0.0000  0.0000  6 Os 2.41
Be  0.5000  0.5000  0.5000  12 Os 3.40
Os  0.0000  0.0000  0.5000  2 Zr 2.41
Os  0.0000  0.5000  0.0000  2 Zr 2.41

=====

## BeP5 (PBE)

Data for a relaxed BeP5 crystal.

Summary:
total moment = 0.0 μB per cell
SG = Cmmm (65)
total energy = -4.75 eV per atom
calculated volume = 90 Å³ per cell

abc: 8.3431 8.3431 3.4392
angles: 90.00 90.00 157.79
With the nearest neighbours (Å) after each atom.
Sites, in units of the cell vectors:
P  0.8973  0.1027  0.0000  2 Be 2.33, 2 P 2.40
Be  0.5000  0.5000  0.0000  8 P 2.33-2.35
P  0.1027  0.8973  0.0000  2 Be 2.33, 2 P 2.40
P  0.2956  0.7044  0.5000  2 P 2.19
P  0.7044  0.2956  0.5000  2 P 2.19
P  0.0000  0.0000  0.5000  4 Be 2.35, 4 P 2.40

=====

## Be5P (PBE)

Data for a relaxed Be5P crystal.

Summary:
total moment = 0.0 μB per cell
SG = Amm2 (38)
total energy = -3.75 eV per atom
calculated volume = 58 Å³ per cell

abc: 6.9945 6.9945 3.5152
angles: 90.00 90.00 160.43
With the nearest neighbours (Å) after each atom.
Sites, in units of the cell vectors:
Be  0.8069  0.1931  0.5000  10 Be 2.15-2.38
P  0.0937  0.9063  0.5000  2 P 2.38, 8 Be 2.44-2.54
Be  0.3319  0.6681  0.0000  12 Be 2.15-2.38
Be  0.6949  0.3051  0.0000  6 Be 2.23-2.38
Be  0.9666  0.0334  0.0000  8 Be 2.15-2.38
Be  0.4393  0.5607  0.5000  10 Be 2.15-2.38

=====

## BeP (PBE)

Data for a relaxed BeP crystal.

Summary:
total moment = 0.0 μB per cell
SG = Fddd (70)
total energy = -4.46 eV per atom
calculated volume = 597 Å³ per cell

abc: 7.5506 11.7101 6.7493
angles: 90.00 90.00 90.00
With the nearest neighbours (Å) after each atom.
Sites, in units of the cell vectors:
Be  0.8260  0.5000  0.0000  4 P 2.16
P  0.0000  0.6461  0.0000  4 Be 2.16
P  0.5000  0.1461  0.0000  4 Be 2.16
P  0.0000  0.3539  0.0000  4 Be 2.16
Be  0.8260  0.0000  0.5000  4 P 2.16
P  0.7500  0.6039  0.2500  4 Be 2.16
P  0.2500  0.8961  0.7500  4 Be 2.16
Be  0.1740  0.5000  0.0000  4 P 2.16
P  0.5000  0.8539  0.0000  4 Be 2.16
P  0.5000  0.3539  0.5000  4 Be 2.16
Be  0.9240  0.7500  0.2500  4 P 2.16
Be  0.9240  0.2500  0.7500  4 P 2.16
Be  0.4240  0.7500  0.7500  4 P 2.16
Be  0.0760  0.7500  0.7500  4 P 2.16
Be  0.6740  0.5000  0.5000  4 P 2.16
Be  0.5760  0.7500  0.2500  4 P 2.16
P  0.5000  0.6461  0.5000  4 Be 2.16
P  0.7500  0.3961  0.7500  4 Be 2.16
P  0.0000  0.1461  0.5000  4 Be 2.16
P  0.2500  0.6039  0.7500  4 Be 2.16
Be  0.4240  0.2500  0.2500  4 P 2.16
P  0.7500  0.8961  0.2500  4 Be 2.16
Be  0.3260  0.5000  0.5000  4 P 2.16
Be  0.1740  0.0000  0.5000  4 P 2.16
P  0.7500  0.1039  0.7500  4 Be 2.16
Be  0.0760  0.2500  0.2500  4 P 2.16
P  0.2500  0.3961  0.2500  4 Be 2.16
Be  0.6740  0.0000  0.0000  4 P 2.16
P  0.2500  0.1039  0.2500  4 Be 2.16
Be  0.5760  0.2500  0.7500  4 P 2.16
P  0.0000  0.8539  0.5000  4 Be 2.16
Be  0.3260  0.0000  0.0000  4 P 2.16

=====

What is the total energy in the fourth record?
-7.45 eV per atom

=====

Please write out number 4 again, unchanged.
## Zr4BeOs (PBE)

Data for a relaxed Zr4BeOs crystal.

Summary:
total moment = 0.0 μB per cell
SG = F-43m (216)
total energy = -7.45 eV per atom
calculated volume = 120 Å³ per cell

abc: 5.5298 5.5298 5.5298
angles: 60.00 60.00 60.00
With the nearest neighbours (Å) after each atom.
Sites, in units of the cell vectors:
Be  0.7500  0.7500  0.7500  12 Zr 3.25, 4 Os 3.39
Zr  0.3734  0.3734  0.3734  6 Zr 2.73-2.80
Zr  0.8797  0.3734  0.3734  6 Zr 2.73-2.80
Zr  0.3734  0.8797  0.3734  6 Zr 2.73-2.80
Zr  0.3734  0.3734  0.8797  6 Zr 2.73-2.80
Os  0.0000  0.0000  0.0000  12 Zr 3.24, 4 Be 3.39